Compound: LaDyGe2
Source: the Alexandria database
Functional: PBE
Structure: optimized geometry

## Properties
Size of the total moment = 0.0 μB per formula unit
E = -5.5150 eV/atom
Formation energy from the elements = -0.824 eV/atom

a b c (Å): 4.463 4.062 5.968
angles (deg): 90.00 111.93 90.00
Element x y z (fractional)
1 Ge 0.166 0.500 0.872
2 Ge 0.004 0.000 0.546
3 La 0.443 0.500 0.425
4 Dy 0.717 0.000 0.974

---

Compound: Sc5P2O
Source: the Alexandria database
Functional: PBE
Structure: optimized geometry

## Properties
E_form (uncorrected) = -1293 meV per atom
Size of the total moment = 0.0 μB per formula unit
E = -7.2226 eV/atom

a b c (Å): 5.069 5.659 11.922
angles (deg): 90.00 90.00 116.61
Element x y z (fractional)
1 Sc 0.365 0.729 0.391
2 Sc 0.060 0.121 0.125
3 Sc 0.712 0.423 0.250
4 Sc 0.635 0.271 0.609
5 Sc 0.288 0.577 0.750
6 Sc 0.365 0.729 0.109
7 Sc 0.940 0.879 0.875
8 Sc 0.060 0.121 0.375
9 Sc 0.635 0.271 0.891
10 Sc 0.940 0.879 0.625
11 P 0.182 0.365 0.942
12 P 0.182 0.365 0.558
13 P 0.818 0.635 0.058
14 P 0.818 0.635 0.442
15 O 0.221 0.442 0.250
16 O 0.779 0.558 0.750

---

Compound: PIrRu2
Source: the Alexandria database
Functional: PBE
Structure: optimized geometry

## Properties
Size of the total moment = 0.0 μB per formula unit
E = -8.0896 eV/atom
Formation energy from the elements = 0.116 eV/atom

a b c (Å): 2.788 3.679 5.554
angles (deg): 90.00 90.00 90.00
Element x y z (fractional)
1 P 0.500 0.500 0.820
2 Ir 0.000 0.000 0.470
3 Ru 0.000 0.000 0.957
4 Ru 0.500 0.500 0.253

---

Compound: BaSc2Ti
Source: the Alexandria database
Functional: PBE
Structure: optimized geometry

## Properties
Energy relative to the lowest polymorph listed for this composition = 0.00 kJ per mole of atoms
Size of the total moment = 0.0 μB per formula unit
E = -5.2241 eV/atom
Formation energy from the elements = 0.396 eV/atom

a b c (Å): 3.290 3.290 11.658
angles (deg): 81.89 81.89 60.00
Element x y z (fractional)
1 Ba 0.000 0.000 0.000
2 Sc 0.900 0.900 0.299
3 Sc 0.100 0.100 0.701
4 Ti 0.500 0.500 0.500

---

Compound: Ba2NiP
Source: the Alexandria database
Functional: PBE
Structure: optimized geometry

## Properties
Size of the total moment = 0.7 μB per formula unit
E = -3.9591 eV/atom
Formation energy from the elements = -0.200 eV/atom

a b c (Å): 3.803 4.057 7.702
angles (deg): 90.00 90.00 90.00
Each line ends with the local moment (μB).
Element x y z (fractional)
1 Ba 0.000 0.000 0.763  -0.01
2 Ba 0.000 0.000 0.237  -0.01
3 P 0.500 0.500 0.000  0.08
4 Ni 0.500 0.500 0.500  0.57

---

Compound: Ba2NpPd2S6
Source: the Alexandria database
Functional: PBE
Structure: optimized geometry

## Properties
E_form (uncorrected) = -1114 meV per atom
Size of the total moment = 1.6 μB per formula unit
E = -5.8352 eV/atom

a b c (Å): 6.750 7.420 7.626
angles (deg): 119.48 90.00 117.06
Each line ends with the local moment (μB).
Element x y z (fractional)
1 S 0.304 0.120 0.793  0.05
2 S 0.696 0.880 0.207  0.05
3 S 0.276 0.551 0.369  0.05
4 S 0.815 0.120 0.793  0.05
5 S 0.724 0.449 0.631  0.05
6 S 0.185 0.880 0.207  0.05
7 Np 0.500 0.000 0.500  -2.04
8 Ba 0.271 0.543 0.784  0.01
9 Ba 0.729 0.457 0.216  0.01
10 Pd 0.930 0.860 0.769  0.02
11 Pd 0.070 0.140 0.231  0.02

---

Compound: PaInFe
Source: the Alexandria database
Functional: PBE
Structure: optimized geometry

## Properties
Size of the total moment = 0.0 μB per formula unit
E = -7.1410 eV/atom
Formation energy from the elements = -0.242 eV/atom

a b c (Å): 3.590 3.828 9.058
angles (deg): 90.00 101.43 90.01
Element x y z (fractional)
1 In 0.209 0.750 0.418
2 In 0.791 0.250 0.582
3 Fe 0.940 0.250 0.880
4 Fe 0.060 0.750 0.120
5 Pa 0.419 0.750 0.837
6 Pa 0.581 0.250 0.163

---

Compound: Ta2Nb3Rh2
Source: the Alexandria database
Functional: PBE
Structure: optimized geometry

## Properties
Size of the total moment = 0.0 μB per formula unit
E = -9.9899 eV/atom
Formation energy from the elements = -0.187 eV/atom

a b c (Å): 4.575 4.575 7.071
angles (deg): 90.00 108.87 120.02
Element x y z (fractional)
1 Nb 0.718 0.859 0.577
2 Nb 0.282 0.141 0.423
3 Nb 0.000 0.000 0.000
4 Ta 0.573 0.287 0.860
5 Ta 0.427 0.713 0.140
6 Rh 0.147 0.573 0.720
7 Rh 0.853 0.427 0.280

---

Compound: K3CaSc
Source: the Alexandria database
Functional: PBE
Structure: optimized geometry

## Properties
Energy relative to the lowest polymorph listed for this composition = 0.00 kJ per mole of atoms
Size of the total moment = 3.5 μB per formula unit
E = -1.4714 eV/atom
Formation energy from the elements = 0.854 eV/atom

a b c (Å): 6.869 6.869 6.869
angles (deg): 90.00 90.00 90.00
Each line ends with the local moment (μB).
Element x y z (fractional)
1 K 0.500 0.000 0.000  0.04
2 K 0.000 0.500 0.000  0.04
3 K 0.000 0.000 0.500  0.04
4 Ca 0.500 0.500 0.500  0.06
5 Sc 0.000 0.000 0.000  1.16

---

Compound: KRb2TlAu
Source: the Alexandria database
Functional: PBE
Structure: optimized geometry

## Properties
Energy relative to the lowest polymorph listed for this composition = 10.85 kJ per mole of atoms
Size of the total moment = 0.0 μB per formula unit
E = -1.6929 eV/atom
Formation energy from the elements = 0.042 eV/atom

a b c (Å): 7.226 7.226 5.357
angles (deg): 90.00 90.00 90.00
Element x y z (fractional)
1 K 0.500 0.500 0.500
2 Au 0.000 0.000 0.500
3 Rb 0.000 0.500 0.000
4 Rb 0.500 0.000 0.000
5 Tl 0.000 0.000 0.000

---

Compound: LiCeZnNi
Source: the Alexandria database
Functional: PBE
Structure: optimized geometry

## Properties
Size of the total moment = 0.0 μB per formula unit
E = -3.8717 eV/atom
Formation energy from the elements = -0.146 eV/atom

a b c (Å): 4.573 4.573 4.573
angles (deg): 60.00 60.00 60.00
Element x y z (fractional)
1 Li 0.000 0.000 0.000
2 Ce 0.750 0.750 0.750
3 Zn 0.250 0.250 0.250
4 Ni 0.500 0.500 0.500

---

Compound: Pb3S2I2
Source: the Alexandria database
Functional: PBE
Structure: optimized geometry

## Properties
Energy relative to the lowest polymorph listed for this composition = 0.00 kJ per mole of atoms
E_form (uncorrected) = -573 meV per atom
Size of the total moment = 0.0 μB per formula unit
E = -3.7845 eV/atom

a b c (Å): 4.303 7.386 8.402
angles (deg): 98.61 90.02 106.93
Element x y z (fractional)
1 Pb 0.238 0.476 0.785
2 Pb 0.000 0.000 0.000
3 Pb 0.762 0.524 0.215
4 I 0.118 0.235 0.365
5 I 0.882 0.765 0.635
6 S 0.365 0.730 0.073
7 S 0.635 0.270 0.927

---

Compound: H3SeI
Source: the Alexandria database
Functional: PBE
Structure: optimized geometry

## Properties
Energy relative to the lowest polymorph listed for this composition = 98.55 kJ per mole of atoms
Size of the total moment = 0.6 μB per formula unit
E = -2.0368 eV/atom

a b c (Å): 4.037 4.037 4.037
angles (deg): 90.00 90.00 90.00
Each line ends with the local moment (μB).
Element x y z (fractional)
1 H 0.500 0.000 0.000  0.01
2 H 0.000 0.500 0.000  0.00
3 H 0.000 0.000 0.500  -0.01
4 I 0.000 0.000 0.000  0.01
5 Se 0.500 0.500 0.500  0.39

---

Compound: Li3Tl2Cd3
Source: the Alexandria database
Functional: PBE
Structure: optimized geometry

## Properties
Energy relative to the lowest polymorph listed for this composition = 0.00 kJ per mole of atoms
Size of the total moment = 0.0 μB per formula unit
E = -1.8135 eV/atom
Formation energy from the elements = -0.161 eV/atom

a b c (Å): 3.317 7.762 7.762
angles (deg): 120.00 90.00 90.00
Element x y z (fractional)
1 Cd 0.000 0.000 0.228
2 Cd 0.000 0.228 0.000
3 Cd 0.000 0.772 0.772
4 Tl 0.000 0.667 0.333
5 Tl 0.000 0.333 0.667
6 Li 0.500 0.620 0.000
7 Li 0.500 0.000 0.620
8 Li 0.500 0.380 0.380

---

Compound: CrWBr2
Source: the Alexandria database
Functional: PBE
Structure: optimized geometry

## Properties
Energy relative to the lowest polymorph listed for this composition = 55.34 kJ per mole of atoms
E_form (uncorrected) = 742 meV per atom
Size of the total moment = 1.2 μB per formula unit
E = -5.7390 eV/atom

a b c (Å): 6.634 6.634 6.634
angles (deg): 152.15 139.67 49.72
Each line ends with the local moment (μB).
Element x y z (fractional)
1 Cr 0.416 0.416 0.000  2.56
2 W 0.265 0.765 0.500  -1.28
3 Br 0.047 0.047 0.000  -0.04
4 Br 0.771 0.271 0.500  0.01

---

Compound: Zr5Ga5Os2
Source: the Alexandria database
Functional: PBE
Structure: optimized geometry

## Properties
Size of the total moment = 0.0 μB per formula unit
E = -7.1479 eV/atom
Formation energy from the elements = -0.453 eV/atom

a b c (Å): 4.240 7.879 7.465
angles (deg): 96.33 73.50 74.39
Element x y z (fractional)
1 Ga 0.999 0.245 0.757
2 Ga 0.296 0.754 0.655
3 Ga 0.000 0.000 0.000
4 Ga 0.704 0.246 0.345
5 Ga 0.001 0.755 0.243
6 Zr 0.660 0.005 0.675
7 Zr 0.340 0.995 0.325
8 Zr 0.288 0.347 0.077
9 Zr 0.000 0.500 0.500
10 Zr 0.712 0.653 0.923
11 Os 0.583 0.568 0.266
12 Os 0.417 0.432 0.734

---

Compound: Mg2TiCo2
Source: the Alexandria database
Functional: PBE
Structure: optimized geometry

## Properties
Energy relative to the lowest polymorph listed for this composition = 35.67 kJ per mole of atoms
Size of the total moment = 4.3 μB per formula unit
E = -4.6895 eV/atom
Formation energy from the elements = 0.370 eV/atom

a b c (Å): 3.172 3.172 9.113
angles (deg): 79.98 79.98 90.00
Each line ends with the local moment (μB).
Element x y z (fractional)
1 Mg 0.623 0.623 0.754  -0.02
2 Mg 0.377 0.377 0.246  -0.02
3 Co 0.750 0.250 0.500  1.54
4 Co 0.250 0.750 0.500  1.54
5 Ti 0.000 0.000 0.000  0.98

---

Compound: GeW2I
Source: the Alexandria database
Functional: PBE
Structure: optimized geometry

## Properties
Energy relative to the lowest polymorph listed for this composition = 74.69 kJ per mole of atoms
E_form (uncorrected) = 1807 meV per atom
Size of the total moment = 3.2 μB per formula unit
E = -6.2118 eV/atom

a b c (Å): 5.947 5.947 7.241
angles (deg): 65.75 65.75 90.00
Each line ends with the local moment (μB).
Element x y z (fractional)
1 Ge 0.500 0.500 0.000  -0.02
2 Ge 0.250 0.750 0.500  -0.02
3 W 0.153 0.625 0.250  1.30
4 W 0.375 0.403 0.750  1.29
5 W 0.597 0.125 0.250  1.29
6 W 0.875 0.847 0.750  1.31
7 I 0.750 0.250 0.500  -0.02
8 I 0.000 0.000 0.000  -0.02

---

Compound: PdS2NO
Source: the Alexandria database
Functional: PBE
Structure: optimized geometry

## Properties
Energy relative to the lowest polymorph listed for this composition = 16.92 kJ per mole of atoms
E_form (uncorrected) = 1654 meV per atom
Size of the total moment = 0.6 μB per formula unit
E = -3.6923 eV/atom

a b c (Å): 4.846 4.846 3.679
angles (deg): 90.00 90.00 90.00
Each line ends with the local moment (μB).
Element x y z (fractional)
1 Pd 0.000 0.000 0.000  0.05
2 S 0.000 0.500 0.000  0.21
3 S 0.500 0.000 0.000  0.21
4 O 0.500 0.500 0.500  -0.34
5 N 0.000 0.000 0.500  0.27

---

Compound: IrPtCl2
Source: the Alexandria database
Functional: PBE
Structure: optimized geometry

## Properties
Energy relative to the lowest polymorph listed for this composition = 0.00 kJ per mole of atoms
E_form (uncorrected) = 14 meV per atom
Size of the total moment = 1.0 μB per formula unit
E = -4.6350 eV/atom

a b c (Å): 7.913 7.913 7.913
angles (deg): 26.81 26.81 26.81
Each line ends with the local moment (μB).
Element x y z (fractional)
1 Pt 0.763 0.763 0.763  0.28
2 Cl 0.032 0.032 0.032  0.02
3 Cl 0.214 0.214 0.214  0.03
4 Ir 0.490 0.490 0.490  0.64

---

Calculated density / Mg/m³: 7.39; 3.29; 12.40; 4.24; 5.09; 5.37; 10.93; 11.82; 1.04; 3.63; 6.66; 6.18; 5.27; 7.36; 7.47; 8.73; 4.00; 9.04; 3.86; 8.56